[1]
Tb2CeCd | PBE-GGA | optimized geometry

Summary:
Polymorph energy (0 for the lowest one) in meV/atom: 174
DFT formation energy in eV per formula unit: 0.2
Mass density in Mg/m³: 8.5
Space-group type: Fm-3m (225)

Lattice parameters (Å, degrees): 5.3990 5.3990 5.3990 60.00 60.00 60.00
Closest atoms and distances in Å follow each position.
Fractional coordinates of all 4 atoms:
Cd 0.5000 0.5000 0.5000  8 Tb 3.31
Tb 0.2500 0.2500 0.2500  4 Cd 3.31, 4 Ce 3.31
Ce 0.0000 0.0000 0.0000  8 Tb 3.31
Tb 0.7500 0.7500 0.7500  4 Cd 3.31, 4 Ce 3.31

[2]
Tb2CeCd | PBE-GGA | optimized geometry

Summary:
Polymorph energy (0 for the lowest one) in meV/atom: 103
DFT formation energy in eV per formula unit: 0.0
Mass density in Mg/m³: 8.0
Space-group type: R3m (160)

Lattice parameters (Å, degrees): 3.5297 3.5297 11.1135 80.86 80.86 60.00
Closest atoms and distances in Å follow each position.
Fractional coordinates of all 4 atoms:
Ce 0.4998 0.4998 0.5005  6 Ce 3.53, 6 Tb 3.55-3.56
Cd 0.6666 0.6666 0.0001  6 Tb 3.26-3.27, 6 Cd 3.53
Tb 0.2555 0.2555 0.2334  3 Cd 3.26, 6 Tb 3.53, 3 Ce 3.56
Tb 0.0780 0.0780 0.7660  3 Cd 3.27, 6 Tb 3.53, 3 Ce 3.55

[3]
Tb2CeCd | PBE-GGA | optimized geometry

Summary:
Polymorph energy (0 for the lowest one) in meV/atom: 0
DFT formation energy in eV per formula unit: -0.5
Mass density in Mg/m³: 8.4
Space-group type: P4/mmm (123)

Lattice parameters (Å, degrees): 3.5566 3.5566 8.9275 90.00 90.00 90.00
Closest atoms and distances in Å follow each position.
Fractional coordinates of all 4 atoms:
Tb 0.0000 0.0000 0.7657  4 Cd 3.27, 4 Ce 3.46, 4 Tb 3.56
Ce 0.5000 0.5000 0.5000  8 Tb 3.46, 4 Ce 3.56
Cd 0.5000 0.5000 0.0000  8 Tb 3.27, 4 Cd 3.56
Tb 0.0000 0.0000 0.2343  4 Cd 3.27, 4 Ce 3.46, 4 Tb 3.56

[4]
TbCe2Cd5 | PBE-GGA | optimized geometry

Summary:
DFT formation energy in eV per formula unit: -1.7
Mass density in Mg/m³: 8.2
Space-group type: I4/mmm (139)

Lattice parameters (Å, degrees): 4.9281 4.9281 9.0439 105.81 105.81 90.00
Closest atoms and distances in Å follow each position.
Fractional coordinates of all 8 atoms:
Cd 0.3842 0.8842 0.7684  2 Tb 3.13, 6 Cd 3.13-3.48, 4 Ce 3.22-3.45
Cd 0.5000 0.5000 0.0000  8 Cd 3.13, 4 Tb 3.48
Cd 0.1158 0.6158 0.2316  6 Cd 3.13-3.48, 2 Tb 3.13, 4 Ce 3.22-3.45
Ce 0.2602 0.2602 0.5205  8 Cd 3.22-3.45, 4 Ce 3.50
Ce 0.7398 0.7398 0.4795  8 Cd 3.22-3.45, 4 Ce 3.50
Cd 0.8842 0.3842 0.7684  6 Cd 3.13-3.48, 2 Tb 3.13, 4 Ce 3.22-3.45
Cd 0.6158 0.1158 0.2316  2 Tb 3.13, 6 Cd 3.13-3.48, 4 Ce 3.22-3.45
Tb 0.0000 0.0000 0.0000  12 Cd 3.13-3.48

[5]
TbCe2Cd | PBE-GGA | optimized geometry

Summary:
Polymorph energy (0 for the lowest one) in meV/atom: 0
DFT formation energy in eV per formula unit: -0.1
Mass density in Mg/m³: 8.3
Space-group type: P4/mmm (123)

Lattice parameters (Å, degrees): 5.1886 4.6073 4.6073 90.00 90.00 90.00
Closest atoms and distances in Å follow each position.
Fractional coordinates of all 4 atoms:
Tb 0.5000 0.5000 0.5000  4 Cd 3.26, 8 Ce 3.47
Ce 0.0000 0.0000 0.5000  4 Ce 3.26, 4 Cd 3.47, 4 Tb 3.47
Ce 0.0000 0.5000 0.0000  4 Ce 3.26, 4 Cd 3.47, 4 Tb 3.47
Cd 0.5000 0.0000 0.0000  4 Tb 3.26, 8 Ce 3.47

[6]
Tb2CeCd3 | PBE-GGA | optimized geometry

Summary:
DFT formation energy in eV per formula unit: -1.5
Mass density in Mg/m³: 8.1
Space-group type: P4/mmm (123)

Lattice parameters (Å, degrees): 3.7371 3.7371 11.6112 90.00 90.00 90.00
Closest atoms and distances in Å follow each position.
Fractional coordinates of all 6 atoms:
Cd 0.0000 0.0000 0.6784  4 Tb 3.23, 4 Ce 3.36
Ce 0.5000 0.5000 0.5000  8 Cd 3.36, 4 Ce 3.74
Cd 0.0000 0.0000 0.0000  8 Tb 3.24
Tb 0.5000 0.5000 0.8380  8 Cd 3.23-3.24
Tb 0.5000 0.5000 0.1620  8 Cd 3.23-3.24
Cd 0.0000 0.0000 0.3216  4 Tb 3.23, 4 Ce 3.36

[7]
TbCeCd2 | PBE-GGA | optimized geometry

Summary:
DFT formation energy in eV per formula unit: -0.7
Mass density in Mg/m³: 8.2
Space-group type: P4/mmm (123)

Lattice parameters (Å, degrees): 4.6000 4.8040 4.8040 90.00 90.00 90.00
Closest atoms and distances in Å follow each position.
Fractional coordinates of all 4 atoms:
Tb 0.5000 0.5000 0.5000  8 Cd 3.33, 4 Ce 3.40
Cd 0.0000 0.0000 0.5000  4 Tb 3.33, 4 Ce 3.33, 4 Cd 3.40
Ce 0.5000 0.0000 0.0000  8 Cd 3.33, 4 Tb 3.40
Cd 0.0000 0.5000 0.0000  4 Tb 3.33, 4 Ce 3.33, 4 Cd 3.40

[8]
Tb5CeCd3 | PBE-GGA | optimized geometry

Summary:
DFT formation energy in eV per formula unit: -1.3
Mass density in Mg/m³: 8.3
Space-group type: P6_3/mcm (193)

Lattice parameters (Å, degrees): 6.8839 9.2562 9.2560 120.00 90.00 90.00
Closest atoms and distances in Å follow each position.
Fractional coordinates of all 18 atoms:
Tb 0.2500 0.3269 0.3269  3 Cd 3.06-3.10
Tb 0.0000 0.3333 0.6666  8 Tb 3.44-3.56, 6 Cd 3.50
Tb 0.0000 0.6667 0.3334  8 Tb 3.44-3.56, 6 Cd 3.50
Cd 0.7500 0.3421 0.3421  3 Tb 3.06-3.10
Tb 0.7500 0.3269 0.0000  3 Cd 3.06-3.10
Cd 0.7500 0.6579 0.0000  3 Tb 3.06-3.10
Cd 0.2500 0.6579 0.6579  3 Tb 3.06-3.10
Tb 0.5000 0.6667 0.3334  8 Tb 3.44-3.56, 6 Cd 3.50
Tb 0.7500 0.6731 0.6731  3 Cd 3.06-3.10
Tb 0.7500 0.0000 0.3269  3 Cd 3.06-3.10
Ce 0.5000 0.0000 0.0000  2 Ce 3.44, 6 Tb 3.48, 6 Cd 3.60
Ce 0.0000 0.0000 0.0000  2 Ce 3.44, 6 Tb 3.48, 6 Cd 3.60
Cd 0.2500 0.0000 0.3421  3 Tb 3.06-3.10
Tb 0.2500 0.0000 0.6731  3 Cd 3.06-3.10
Tb 0.5000 0.3333 0.6666  8 Tb 3.44-3.56, 6 Cd 3.50
Cd 0.7500 0.0000 0.6579  3 Tb 3.06-3.10
Tb 0.2500 0.6731 0.0000  3 Cd 3.06-3.10
Cd 0.2500 0.3421 0.0000  3 Tb 3.06-3.10

[9]
TbCeTlCd | PBE-GGA | optimized geometry

Summary:
DFT formation energy in eV per formula unit: -1.0
Mass density in Mg/m³: 9.1
Space-group type: F-43m (216)

Lattice parameters (Å, degrees): 5.4163 5.4163 5.4163 60.00 60.00 60.00
Closest atoms and distances in Å follow each position.
Fractional coordinates of all 4 atoms:
Tb 0.0000 0.0000 0.0000  4 Cd 3.32, 4 Tl 3.32
Tl 0.2500 0.2500 0.2500  4 Tb 3.32, 4 Ce 3.32
Cd 0.7500 0.7500 0.7500  4 Tb 3.32, 4 Ce 3.32
Ce 0.5000 0.5000 0.5000  4 Tl 3.32, 4 Cd 3.32

[10]
TbCe2Tl2Cd2 | PBE-GGA | optimized geometry

Summary:
DFT formation energy in eV per formula unit: -0.8
Mass density in Mg/m³: 9.6
Space-group type: R-3m (166)

Lattice parameters (Å, degrees): 4.8552 4.8552 9.4863 75.17 75.17 60.00
Closest atoms and distances in Å follow each position.
Fractional coordinates of all 7 atoms:
Tl 0.7254 0.7254 0.8237  3 Cd 2.92, 3 Tb 3.23
Tb 0.0000 0.0000 0.0000  6 Tl 3.23
Ce 0.1457 0.1457 0.5629  3 Ce 3.03, 3 Cd 3.20
Ce 0.8543 0.8543 0.4371  3 Ce 3.03, 3 Cd 3.20
Cd 0.5778 0.5778 0.2667  3 Tl 2.92, 3 Ce 3.20
Tl 0.2746 0.2746 0.1763  3 Cd 2.92, 3 Tb 3.23
Cd 0.4222 0.4222 0.7333  3 Tl 2.92, 3 Ce 3.20

[11]
TbCeTmCd | PBE-GGA | optimized geometry

Summary:
DFT formation energy in eV per formula unit: 0.0
Mass density in Mg/m³: 8.5
Space-group type: F-43m (216)

Lattice parameters (Å, degrees): 5.4393 5.4393 5.4393 60.00 60.00 60.00
Closest atoms and distances in Å follow each position.
Fractional coordinates of all 4 atoms:
Tm 0.7500 0.7500 0.7500  4 Tb 3.33, 4 Ce 3.33
Tb 0.0000 0.0000 0.0000  4 Cd 3.33, 4 Tm 3.33
Cd 0.2500 0.2500 0.2500  4 Tb 3.33, 4 Ce 3.33
Ce 0.5000 0.5000 0.5000  4 Cd 3.33, 4 Tm 3.33

[12]
Ce2CdTc | PBE-GGA | optimized geometry

Summary:
DFT formation energy in eV per formula unit: -0.5
Mass density in Mg/m³: 8.5
Space-group type: P4/mmm (123)

Lattice parameters (Å, degrees): 3.3345 3.3345 8.5857 90.00 90.00 90.00
Closest atoms and distances in Å follow each position.
Fractional coordinates of all 4 atoms:
Ce 0.0000 0.0000 0.7952  4 Tc 2.94
Ce 0.0000 0.0000 0.2048  4 Tc 2.94
Tc 0.5000 0.5000 0.0000  8 Ce 2.94
Cd 0.5000 0.5000 0.5000  4 Cd 3.33, 8 Ce 3.46

[13]
CeCdTc | PBE-GGA | optimized geometry

Summary:
Polymorph energy (0 for the lowest one) in meV/atom: 138
DFT formation energy in eV per formula unit: 0.4
Mass density in Mg/m³: 7.8
Space-group type: P4/nmm (129)

Lattice parameters (Å, degrees): 3.9047 3.9047 9.7727 90.00 90.00 90.00
Closest atoms and distances in Å follow each position.
Fractional coordinates of all 6 atoms:
Ce 0.0000 0.5000 0.3026  1 Tc 2.27
Tc 0.0000 0.5000 0.5348  1 Ce 2.27
Ce 0.5000 0.0000 0.6974  1 Tc 2.27
Tc 0.5000 0.0000 0.4652  1 Ce 2.27
Cd 0.5000 0.5000 0.0000  4 Cd 2.76
Cd 0.0000 0.0000 0.0000  4 Cd 2.76

[14]
Ce8Cd2Tc | PBE-GGA | optimized geometry

Summary:
DFT formation energy in eV per formula unit: -0.7
Mass density in Mg/m³: 8.4
Space-group type: C2/m (12)

Lattice parameters (Å, degrees): 5.6336 7.0650 8.4454 114.65 109.48 90.00
Closest atoms and distances in Å follow each position.
Fractional coordinates of all 11 atoms:
Ce 0.6225 0.4157 0.2449  1 Tc 2.71, 1 Ce 2.94
Tc 0.5000 0.0000 0.0000  4 Ce 2.71
Ce 0.3759 0.1670 0.7517  1 Tc 2.71, 1 Ce 2.94
Ce 0.3775 0.5843 0.7551  1 Tc 2.71, 1 Ce 2.94
Ce 0.9994 0.2614 0.9988  2 Ce 2.70-2.71
Ce 0.6241 0.8330 0.2483  1 Tc 2.71, 1 Ce 2.94
Ce 0.1381 0.1392 0.2763  2 Ce 2.70-2.71
Ce 0.0006 0.7386 0.0012  2 Ce 2.70-2.71
Ce 0.8619 0.8608 0.7237  2 Ce 2.70-2.71
Cd 0.7985 0.3000 0.5970  8 Ce 3.24-3.37
Cd 0.2015 0.7000 0.4030  8 Ce 3.24-3.37

[15]
Ce2CdTc | PBE-GGA | optimized geometry

Summary:
DFT formation energy in eV per formula unit: 0.1
Mass density in Mg/m³: 7.5
Space-group type: R-3m (166)

Lattice parameters (Å, degrees): 3.9295 3.9295 8.4048 76.48 76.48 60.00
Closest atoms and distances in Å follow each position.
Fractional coordinates of all 4 atoms:
Ce 0.7302 0.7302 0.8094  3 Tc 2.74
Cd 0.5000 0.5000 0.5000  6 Ce 3.38
Tc 0.0000 0.0000 0.0000  6 Ce 2.74
Ce 0.2698 0.2698 0.1906  3 Tc 2.74

[16]
Ce2CdTc | PBE-GGA | optimized geometry

Summary:
DFT formation energy in eV per formula unit: 0.1
Mass density in Mg/m³: 8.6
Space-group type: P4/mmm (123)

Lattice parameters (Å, degrees): 3.6748 5.0644 5.0644 90.00 90.00 90.00
Closest atoms and distances in Å follow each position.
Fractional coordinates of all 4 atoms:
Ce 0.0000 0.0000 0.5000  4 Tc 3.13, 4 Cd 3.13
Cd 0.5000 0.0000 0.0000  8 Ce 3.13
Ce 0.0000 0.5000 0.0000  4 Cd 3.13, 4 Tc 3.13
Tc 0.5000 0.5000 0.5000  8 Ce 3.13

[17]
Ce2CdTc | PBE-GGA | optimized geometry

Summary:
DFT formation energy in eV per formula unit: -0.6
Mass density in Mg/m³: 8.9
Space-group type: P2_1/c (14)

Lattice parameters (Å, degrees): 5.2393 7.0813 10.2299 90.00 104.35 90.00
Closest atoms and distances in Å follow each position.
Fractional coordinates of all 16 atoms:
Tc 0.1770 0.3526 0.3498  2 Ce 2.45-2.54
Tc 0.3230 0.8526 0.6502  2 Ce 2.45-2.54
Ce 0.7044 0.5919 0.4064  1 Tc 2.45
Cd 0.4275 0.1340 0.8668  1 Tc 2.93, 3 Cd 3.09-3.25, 3 Ce 3.22-3.26
Ce 0.7956 0.0919 0.5936  1 Tc 2.45
Ce 0.2956 0.4081 0.5936  1 Tc 2.45
Cd 0.5725 0.8660 0.1332  1 Tc 2.93, 3 Cd 3.09-3.25, 3 Ce 3.22-3.26
Ce 0.4193 0.6305 0.8509  1 Tc 2.54
Cd 0.9275 0.3660 0.8668  1 Tc 2.93, 3 Cd 3.09-3.25, 3 Ce 3.22-3.26
Ce 0.0807 0.1305 0.1491  1 Tc 2.54
Cd 0.0725 0.6340 0.1332  1 Tc 2.93, 3 Cd 3.09-3.25, 3 Ce 3.22-3.26
Ce 0.2044 0.9081 0.4064  1 Tc 2.45
Ce 0.5807 0.3695 0.1491  1 Tc 2.54
Tc 0.8230 0.6474 0.6502  2 Ce 2.45-2.54
Tc 0.6770 0.1474 0.3498  2 Ce 2.45-2.54
Ce 0.9193 0.8695 0.8509  1 Tc 2.54

[18]
CeCdTc | PBE-GGA | optimized geometry

Summary:
Polymorph energy (0 for the lowest one) in meV/atom: 0
DFT formation energy in eV per formula unit: 0.0
Mass density in Mg/m³: 8.3
Space-group type: C2/m (12)

Lattice parameters (Å, degrees): 4.0946 4.7711 7.9578 95.37 90.00 115.41
Closest atoms and distances in Å follow each position.
Fractional coordinates of all 6 atoms:
Cd 0.6819 0.1625 0.9708  3 Cd 2.81-2.83
Ce 0.3262 0.4511 0.3191  3 Tc 2.90-3.16, 3 Cd 3.17-3.18
Cd 0.9992 0.7970 0.0964  3 Cd 2.81-2.83
Ce 0.3548 0.5084 0.7481  3 Tc 2.90-3.16, 3 Cd 3.17-3.18
Tc 0.0158 0.8303 0.4981  2 Tc 2.45
Tc 0.6653 0.1292 0.5691  2 Tc 2.45

[19]
CeThCdTc | PBE-GGA | optimized geometry

Summary:
Polymorph energy (0 for the lowest one) in meV/atom: 153
DFT formation energy in eV per formula unit: 0.1
Mass density in Mg/m³: 9.9
Space-group type: F-43m (216)

Lattice parameters (Å, degrees): 5.1735 5.1735 5.1735 60.00 60.00 60.00
Closest atoms and distances in Å follow each position.
Fractional coordinates of all 4 atoms:
Th 0.0000 0.0000 0.0000  4 Tc 3.17, 4 Cd 3.17
Cd 0.7500 0.7500 0.7500  4 Ce 3.17, 4 Th 3.17
Tc 0.2500 0.2500 0.2500  4 Th 3.17, 4 Ce 3.17
Ce 0.5000 0.5000 0.5000  4 Cd 3.17, 4 Tc 3.17

[20]
CeThCdTc | PBE-GGA | optimized geometry

Summary:
Polymorph energy (0 for the lowest one) in meV/atom: 0
DFT formation energy in eV per formula unit: -0.5
Mass density in Mg/m³: 9.7
Space-group type: P4mm (99)

Lattice parameters (Å, degrees): 3.4193 3.4193 8.5431 90.00 90.00 90.00
Closest atoms and distances in Å follow each position.
Fractional coordinates of all 4 atoms:
Cd 0.0000 0.0000 0.0766  4 Cd 3.42, 4 Ce 3.45, 4 Th 3.52
Ce 0.5000 0.5000 0.3645  4 Tc 2.97
Th 0.5000 0.5000 0.7776  4 Tc 3.02
Tc 0.0000 0.0000 0.5660  4 Ce 2.97, 4 Th 3.02

[21]
CeTmCdTc | PBE-GGA | optimized geometry

Summary:
DFT formation energy in eV per formula unit: -0.2
Mass density in Mg/m³: 9.5
Space-group type: F-43m (216)

Lattice parameters (Å, degrees): 5.0501 5.0501 5.0501 60.00 60.00 60.00
Closest atoms and distances in Å follow each position.
Fractional coordinates of all 4 atoms:
Ce 0.5000 0.5000 0.5000  4 Cd 3.09, 4 Tc 3.09
Tm 0.0000 0.0000 0.0000  4 Tc 3.09, 4 Cd 3.09
Cd 0.7500 0.7500 0.7500  4 Ce 3.09, 4 Tm 3.09
Tc 0.2500 0.2500 0.2500  4 Ce 3.09, 4 Tm 3.09

[22]
CeZrCdTc | PBE-GGA | optimized geometry

Summary:
DFT formation energy in eV per formula unit: 0.0
Mass density in Mg/m³: 8.5
Space-group type: F-43m (216)

Lattice parameters (Å, degrees): 4.9665 4.9665 4.9665 60.00 60.00 60.00
Closest atoms and distances in Å follow each position.
Fractional coordinates of all 4 atoms:
Zr 0.2500 0.2500 0.2500  4 Cd 3.04, 4 Tc 3.04
Tc 0.5000 0.5000 0.5000  4 Zr 3.04, 4 Ce 3.04
Cd 0.0000 0.0000 0.0000  4 Zr 3.04, 4 Ce 3.04
Ce 0.7500 0.7500 0.7500  4 Cd 3.04, 4 Tc 3.04

[23]
CeCdTe | PBE-GGA | optimized geometry

Summary:
ΔE_f (raw) in eV per atom: -0.74
Mass density in Mg/m³: 6.6
Space-group type: R-3m (166)

Lattice parameters (Å, degrees): 5.1107 5.1107 8.9353 73.38 73.38 60.00
Closest atoms and distances in Å follow each position.
Fractional coordinates of all 6 atoms:
Ce 0.5788 0.5788 0.2637  4 Te 3.14-3.38
Te 0.2878 0.2878 0.1366  1 Cd 3.09, 4 Ce 3.14-3.38
Te 0.7122 0.7122 0.8634  1 Cd 3.09, 4 Ce 3.14-3.38
Cd 0.1657 0.1657 0.5030  3 Cd 2.95, 1 Te 3.09
Cd 0.8343 0.8343 0.4970  3 Cd 2.95, 1 Te 3.09
Ce 0.4212 0.4212 0.7363  4 Te 3.14-3.38

[24]
CeCdTe2 | PBE-GGA | optimized geometry

Summary:
ΔE_f (raw) in eV per atom: -0.71
Mass density in Mg/m³: 5.1
Space-group type: R-3m (166)

Lattice parameters (Å, degrees): 4.4514 4.4514 9.9029 77.01 77.01 60.00
Closest atoms and distances in Å follow each position.
Fractional coordinates of all 4 atoms:
Te 0.1046 0.1046 0.6862  1 Cd 3.00, 3 Ce 3.13
Ce 0.5000 0.5000 0.5000  6 Te 3.13
Cd 0.0000 0.0000 0.0000  2 Te 3.00
Te 0.8954 0.8954 0.3138  1 Cd 3.00, 3 Ce 3.13